(1)
DFT (PBE-GGA) results for a relaxed Ni2SnHg2 crystal.

CIF file:
```
data_Ni2SnHg2
_chemical_formula_sum 'Ni4 Sn2 Hg4'
_symmetry_space_group_name_H-M 'P 4/m b m'
_symmetry_Int_Tables_number 127
_symmetry_space_group_name_Hall '-P 4 2ab'
_cell_length_a 6.770
_cell_length_b 6.770
_cell_length_c 3.875
_cell_angle_alpha 90.00
_cell_angle_beta 90.00
_cell_angle_gamma 90.00
loop_
_atom_site_label
_atom_site_type_symbol
_atom_site_fract_x
_atom_site_fract_y
_atom_site_fract_z
Ni1 Ni 0.140 0.360 0.000
Sn1 Sn 0.000 0.000 0.000
Hg1 Hg 0.158 0.658 0.500
```

(2)
DFT (PBE-GGA) results for a relaxed NiSn6Hg crystal.

CIF file:
```
data_NiSn6Hg
_chemical_formula_sum 'Ni4 Sn24 Hg4'
_symmetry_space_group_name_H-M 'C 1 2/m 1'
_symmetry_Int_Tables_number 12
_symmetry_space_group_name_Hall '-C 2y'
_cell_length_a 13.834
_cell_length_b 9.225
_cell_length_c 9.706
_cell_angle_alpha 90.00
_cell_angle_beta 133.31
_cell_angle_gamma 90.00
loop_
_atom_site_label
_atom_site_type_symbol
_atom_site_fract_x
_atom_site_fract_y
_atom_site_fract_z
Ni1 Ni 0.250 0.250 0.000
Sn1 Sn 0.027 0.165 0.681
Sn2 Sn 0.103 0.500 0.470
Sn3 Sn 0.148 0.336 0.127
Sn4 Sn 0.201 0.500 0.859
Hg1 Hg 0.250 0.250 0.500
```

(3)
DFT (PBE-GGA) results for a relaxed Ni2SnHg crystal.

CIF file:
```
data_Ni2SnHg
_chemical_formula_sum 'Ni8 Sn4 Hg4'
_symmetry_space_group_name_H-M 'F m -3 m'
_symmetry_Int_Tables_number 225
_symmetry_space_group_name_Hall '-F 4 2 3'
_cell_length_a 6.329
_cell_length_b 6.329
_cell_length_c 6.329
_cell_angle_alpha 90.00
_cell_angle_beta 90.00
_cell_angle_gamma 90.00
loop_
_atom_site_label
_atom_site_type_symbol
_atom_site_fract_x
_atom_site_fract_y
_atom_site_fract_z
Ni1 Ni 0.250 0.250 0.250
Sn1 Sn 0.000 0.000 0.000
Hg1 Hg 0.000 0.000 0.500
```

Number 1: ΔE to the lowest computed polymorph 0.0 meV per atom, energy of formation 0.108 eV per atom. Number 2: ΔE to the lowest computed polymorph 32.4 meV per atom, energy of formation 0.038 eV per atom. Number 3: ΔE to the lowest computed polymorph 0.0 meV per atom, energy of formation 0.065 eV per atom.